# 1
NaYC: relaxed, PBE.

extended XYZ file:
```
3
Lattice="4.007 0.000 0.000 -2.003 3.470 0.000 0.000 0.000 5.370" Properties=species:S:1:pos:R:3 pbc="T T T"
Na 0.000 0.000 0.000
Y 0.000 2.313 2.685
C 2.003 1.157 2.685
```

Calculated values
* ΔE_f: 154.0 kJ/mol of formula units
* final energy: -5.1369 eV/atom
* DOS at the Fermi energy: 2.044 states/eV/cell
* ΔE to the lowest computed polymorph: 665 meV per atom
* symmetry: P-6m2

# 2
Zn2Si2Pb: relaxed, PBE.

extended XYZ file:
```
5
Lattice="-2.168 2.168 5.169 2.168 -2.168 5.169 2.168 2.168 -5.169" Properties=species:S:1:pos:R:3 pbc="T T T"
Zn 2.168 0.000 2.584
Zn 0.000 2.168 2.584
Si 0.000 0.000 1.186
Si 0.000 0.000 9.151
Pb 0.000 0.000 5.169
```

Calculated values
* final energy: -3.2278 eV/atom
* ΔE_f (raw): 193 meV/atom
* DOS at the Fermi energy: 1.467 states/eV/cell
* ΔE to the lowest computed polymorph: 0 meV per atom
* symmetry: I4/mmm

# 3
DyHo5Pb6: relaxed, PBE.

extended XYZ file:
```
12
Lattice="3.051 -7.646 0.000 3.051 7.646 0.000 -1.825 0.000 7.500" Properties=species:S:1:pos:R:3 pbc="T T T"
Dy 0.000 0.000 0.000
Ho -0.913 0.000 3.750
Ho 3.051 2.555 0.000
Ho 2.138 2.538 3.750
Ho 2.138 -2.538 3.750
Ho 3.051 -2.555 0.000
Pb 2.591 5.092 1.882
Pb 1.686 5.092 5.618
Pb 1.672 0.000 5.631
Pb 2.605 0.000 1.869
Pb 2.591 -5.092 1.882
Pb 1.686 -5.092 5.618
```

Calculated values
* ΔE_f: -486.0 kJ/mol of formula units
* final energy: -4.5648 eV/atom
* DOS at the Fermi energy: 7.600 states/eV/cell
* symmetry: C2/m

Calculated values (μB per cell) of M_tot for the records, taken in order: 0.48, 0.00, 0.00.